! BeBrCl2 PBE optimized geometry; values from VASP
&SYSTEM
  ibrav = 0, nat = 4, ntyp = 3
/
ATOMIC_SPECIES
Be 9.01 Be.upf
Br 79.90 Br.upf
Cl 35.45 Cl.upf
ATOMIC_POSITIONS crystal
Be 0.750 0.750 0.750
Br 0.250 0.250 0.250
Cl 0.119 0.119 0.851
Cl 0.381 0.381 0.649
CELL_PARAMETERS angstrom
6.611 0.025 0.034
5.958 2.867 0.034
3.749 0.863 7.066
! Raw formation energy in meV per atom: -704
! Crystal system: monoclinic
! D(E_F) in states/eV/cell: 2.6
! Relative energy among the computed polymorphs in meV per atom: 81
! Space-group type: C2/m, No. 12

! Be2BrCl PBE optimized geometry; values from VASP
&SYSTEM
  ibrav = 0, nat = 4, ntyp = 3
/
ATOMIC_SPECIES
Be 9.01 Be.upf
Br 79.90 Br.upf
Cl 35.45 Cl.upf
ATOMIC_POSITIONS crystal
Be 0.000 0.000 0.993
Be 0.000 0.000 0.507
Br 0.500 0.500 0.250
Cl 0.500 0.500 0.750
CELL_PARAMETERS angstrom
3.639 -0.010 0.000
-2.149 2.937 0.000
0.000 0.000 6.892
! Raw formation energy in meV per atom: 452
! Crystal system: orthorhombic
! D(E_F) in states/eV/cell: 1.8
! Relative energy among the computed polymorphs in meV per atom: 840
! Space-group type: Cmmm, No. 65

! Be2BrCl PBE optimized geometry; values from VASP
&SYSTEM
  ibrav = 0, nat = 8, ntyp = 3
/
ATOMIC_SPECIES
Be 9.01 Be.upf
Br 79.90 Br.upf
Cl 35.45 Cl.upf
ATOMIC_POSITIONS crystal
Be 0.481 0.125 0.250
Be 0.269 0.625 0.250
Be 0.375 0.519 0.750
Be 0.875 0.731 0.750
Br 0.000 0.000 0.000
Br 0.750 0.250 0.500
Cl 0.500 0.500 0.000
Cl 0.250 0.750 0.500
CELL_PARAMETERS angstrom
4.670 0.000 0.000
0.000 4.670 0.000
2.335 2.335 7.138
! Raw formation energy in meV per atom: 359
! Crystal system: tetragonal
! D(E_F) in states/eV/cell: 0.0
! Relative energy among the computed polymorphs in meV per atom: 747
! Space-group type: I-42d, No. 122

! BeBr3Cl PBE optimized geometry; values from VASP
&SYSTEM
  ibrav = 0, nat = 5, ntyp = 3
/
ATOMIC_SPECIES
Be 9.01 Be.upf
Br 79.90 Br.upf
Cl 35.45 Cl.upf
ATOMIC_POSITIONS crystal
Be 0.000 0.000 0.000
Br 0.000 0.500 0.000
Br 0.000 0.000 0.500
Br 0.500 0.000 0.000
Cl 0.500 0.500 0.500
CELL_PARAMETERS angstrom
4.873 0.000 0.000
0.000 4.873 0.000
0.000 0.000 4.873
! Raw formation energy in meV per atom: 45
! Crystal system: cubic
! D(E_F) in states/eV/cell: 6.8
! Relative energy among the computed polymorphs in meV per atom: 0
! Space-group type: Pm-3m, No. 221

! BeBr3Cl PBE optimized geometry; values from VASP
&SYSTEM
  ibrav = 0, nat = 5, ntyp = 3
/
ATOMIC_SPECIES
Be 9.01 Be.upf
Br 79.90 Br.upf
Cl 35.45 Cl.upf
ATOMIC_POSITIONS crystal
Be 0.500 0.500 0.500
Br 0.000 0.500 0.000
Br 0.000 0.000 0.500
Br 0.500 0.000 0.000
Cl 0.000 0.000 0.000
CELL_PARAMETERS angstrom
5.329 0.000 0.000
0.000 5.329 0.000
0.000 0.000 5.329
! Raw formation energy in meV per atom: 832
! Crystal system: cubic
! D(E_F) in states/eV/cell: 0.2
! Relative energy among the computed polymorphs in meV per atom: 786
! Space-group type: Pm-3m, No. 221

! Cs2BeBr6Cl PBE optimized geometry; values from VASP
&SYSTEM
  ibrav = 0, nat = 10, ntyp = 4
/
ATOMIC_SPECIES
Cs 132.91 Cs.upf
Be 9.01 Be.upf
Br 79.90 Br.upf
Cl 35.45 Cl.upf
ATOMIC_POSITIONS crystal
Cs 0.750 0.250 0.500
Cs 0.250 0.750 0.500
Be 0.500 0.500 0.000
Br 0.214 0.214 0.572
Br 0.786 0.786 0.428
Br 0.304 0.304 0.000
Br 0.696 0.696 0.000
Br 0.696 0.304 0.000
Br 0.304 0.696 0.000
Cl 0.000 0.000 0.000
CELL_PARAMETERS angstrom
-1.711 6.770 -4.160
1.506 -3.902 -6.970
-5.610 -0.146 -5.870
! Raw formation energy in meV per atom: -879
! Crystal system: tetragonal
! D(E_F) in states/eV/cell: 1.4
! Space-group type: I4/mmm, No. 139

! HfBeBr2Cl PBE optimized geometry; values from VASP
&SYSTEM
  ibrav = 0, nat = 5, ntyp = 4
/
ATOMIC_SPECIES
Be 9.01 Be.upf
Hf 178.49 Hf.upf
Br 79.90 Br.upf
Cl 35.45 Cl.upf
ATOMIC_POSITIONS crystal
Be 0.000 0.500 0.000
Hf 0.000 0.000 0.000
Br 0.000 0.000 0.500
Br 0.500 0.000 0.000
Cl 0.500 0.500 0.500
CELL_PARAMETERS angstrom
5.120 0.000 0.000
0.000 5.376 0.000
0.000 0.000 5.120
! Raw formation energy in meV per atom: -77
! Crystal system: tetragonal
! D(E_F) in states/eV/cell: 1.9
! Space-group type: P4/mmm, No. 123

! BeNi2BrCl PBE optimized geometry; values from VASP
&SYSTEM
  ibrav = 0, nat = 5, ntyp = 4
/
ATOMIC_SPECIES
Ni 58.69 Ni.upf
Be 9.01 Be.upf
Br 79.90 Br.upf
Cl 35.45 Cl.upf
ATOMIC_POSITIONS crystal
Ni 0.000 0.000 0.500
Ni 0.500 0.000 0.000
Be 0.000 0.500 0.000
Br 0.500 0.500 0.500
Cl 0.000 0.000 0.000
CELL_PARAMETERS angstrom
-3.399 2.584 -0.228
-2.553 -3.231 1.437
0.683 1.253 4.031
! Raw formation energy in meV per atom: 763
! Crystal system: tetragonal
! D(E_F) in states/eV/cell: 2.8
! Space-group type: P4/mmm, No. 123

! BePBrCl2 PBE optimized geometry; values from VASP
&SYSTEM
  ibrav = 0, nat = 5, ntyp = 4
/
ATOMIC_SPECIES
P 30.97 P.upf
Be 9.01 Be.upf
Br 79.90 Br.upf
Cl 35.45 Cl.upf
ATOMIC_POSITIONS crystal
P 0.000 0.000 0.500
Be 0.000 0.000 0.000
Br 0.500 0.500 0.500
Cl 0.000 0.500 0.000
Cl 0.500 0.000 0.000
CELL_PARAMETERS angstrom
-2.175 1.270 -3.310
2.140 -2.625 -2.414
-5.442 -5.711 1.386
! Raw formation energy in meV per atom: 3
! Crystal system: tetragonal
! D(E_F) in states/eV/cell: 2.0
! Relative energy among the computed polymorphs in meV per atom: 0
! Space-group type: P4/mmm, No. 123

! BePBrCl2 PBE optimized geometry; values from VASP
&SYSTEM
  ibrav = 0, nat = 5, ntyp = 4
/
ATOMIC_SPECIES
P 30.97 P.upf
Be 9.01 Be.upf
Br 79.90 Br.upf
Cl 35.45 Cl.upf
ATOMIC_POSITIONS crystal
P 0.000 0.000 0.500
Be 0.500 0.500 0.500
Br 0.000 0.000 0.000
Cl 0.000 0.500 0.000
Cl 0.500 0.000 0.000
CELL_PARAMETERS angstrom
5.115 0.000 0.000
0.000 5.115 0.000
0.000 0.000 5.150
! Raw formation energy in meV per atom: 1185
! Crystal system: tetragonal
! D(E_F) in states/eV/cell: 3.4
! Relative energy among the computed polymorphs in meV per atom: 1182
! Space-group type: P4/mmm, No. 123

! Rb2BeBrCl6 PBE optimized geometry; values from VASP
&SYSTEM
  ibrav = 0, nat = 10, ntyp = 4
/
ATOMIC_SPECIES
Be 9.01 Be.upf
Br 79.90 Br.upf
Rb 85.47 Rb.upf
Cl 35.45 Cl.upf
ATOMIC_POSITIONS crystal
Be 0.500 0.500 0.000
Br 0.000 0.000 0.000
Rb 0.750 0.250 0.500
Rb 0.250 0.750 0.500
Cl 0.223 0.223 0.555
Cl 0.777 0.777 0.445
Cl 0.304 0.304 0.000
Cl 0.696 0.696 0.000
Cl 0.696 0.304 0.000
Cl 0.304 0.696 0.000
CELL_PARAMETERS angstrom
7.624 0.000 0.000
0.000 7.624 0.000
3.812 3.812 5.345
! Raw formation energy in meV per atom: -1051
! Crystal system: tetragonal
! D(E_F) in states/eV/cell: 10.4
! Space-group type: I4/mmm, No. 139

! Rb2BeBr6Cl PBE optimized geometry; values from VASP
&SYSTEM
  ibrav = 0, nat = 10, ntyp = 4
/
ATOMIC_SPECIES
Be 9.01 Be.upf
Br 79.90 Br.upf
Rb 85.47 Rb.upf
Cl 35.45 Cl.upf
ATOMIC_POSITIONS crystal
Be 0.500 0.500 0.000
Br 0.218 0.218 0.564
Br 0.782 0.782 0.436
Br 0.300 0.300 0.000
Br 0.700 0.700 0.000
Br 0.700 0.300 0.000
Br 0.300 0.700 0.000
Rb 0.750 0.250 0.500
Rb 0.250 0.750 0.500
Cl 0.000 0.000 0.000
CELL_PARAMETERS angstrom
7.986 0.000 0.000
0.000 7.986 0.000
3.993 3.993 5.624
! Raw formation energy in meV per atom: -824
! Crystal system: tetragonal
! D(E_F) in states/eV/cell: 5.0
! Space-group type: I4/mmm, No. 139

! Be2ReBrCl PBE optimized geometry; values from VASP
&SYSTEM
  ibrav = 0, nat = 5, ntyp = 4
/
ATOMIC_SPECIES
Re 186.21 Re.upf
Be 9.01 Be.upf
Br 79.90 Br.upf
Cl 35.45 Cl.upf
ATOMIC_POSITIONS crystal
Re 0.000 0.500 0.000
Be 0.000 0.000 0.500
Be 0.500 0.000 0.000
Br 0.500 0.500 0.500
Cl 0.000 0.000 0.000
CELL_PARAMETERS angstrom
-1.162 -1.667 3.834
3.110 -3.160 -0.431
2.881 2.564 1.989
! Raw formation energy in meV per atom: 1738
! Crystal system: tetragonal
! D(E_F) in states/eV/cell: 4.3
! Space-group type: P4/mmm, No. 123

! BeSBrCl2 PBE optimized geometry; values from VASP
&SYSTEM
  ibrav = 0, nat = 5, ntyp = 4
/
ATOMIC_SPECIES
Be 9.01 Be.upf
S 32.06 S.upf
Br 79.90 Br.upf
Cl 35.45 Cl.upf
ATOMIC_POSITIONS crystal
Be 0.500 0.500 0.500
S 0.000 0.000 0.500
Br 0.000 0.000 0.000
Cl 0.000 0.500 0.000
Cl 0.500 0.000 0.000
CELL_PARAMETERS angstrom
-0.957 -3.576 3.598
3.591 -3.064 -2.089
3.422 2.020 2.919
! Raw formation energy in meV per atom: 980
! Crystal system: tetragonal
! D(E_F) in states/eV/cell: 1.3
! Relative energy among the computed polymorphs in meV per atom: 1080
! Space-group type: P4/mmm, No. 123